No. 1
A geometry-optimized Pu2In2Hg3 structure. Source: Alexandria, functional GGA-PBE.

Cell lengths 9.102, 9.102, 9.102 Å; angles 90.00, 90.00, 90.00 degrees
Space group I2_13 (No. 199)
Unique sites:
Pu (0.155, 0.155, 0.155)
In (0.066, 0.434, 0.566)
Hg (0.000, 0.250, 0.847)

Summary:
Formation enthalpy at 0 K = 0.0391 eV/atom
Spin magnetization = 49.45 μB per cell
Volume = 26.93 Å³/atom
Theoretical density = 11.62 g/cm3
Fermi-level density of states = 2.53 states/eV per atom

No. 2
A geometry-optimized PuInHgRh structure. Source: Alexandria, functional GGA-PBE.

Cell lengths 7.022, 7.022, 7.022 Å; angles 90.00, 90.00, 90.00 degrees
Space group F-43m (No. 216)
Unique sites:
Pu (0.000, 0.000, 0.000)
In (0.000, 0.000, 0.500)
Hg (0.250, 0.250, 0.750)
Rh (0.250, 0.250, 0.250)

Summary:
Formation enthalpy at 0 K = -0.1487 eV/atom
Spin magnetization = 20.52 μB per cell
Volume = 21.64 Å³/atom
Theoretical density = 12.71 g/cm3
Fermi-level density of states = 2.92 states/eV per atom

No. 3
A geometry-optimized PuInHgSb structure. Source: Alexandria, functional GGA-PBE.

Cell lengths 4.441, 4.519, 5.087 Å; angles 90.00, 90.00, 90.00 degrees
Space group Pmmm (No. 47)
Unique sites:
Pu (0.000, 0.000, 0.000)
In (0.000, 0.500, 0.500)
Hg (0.500, 0.000, 0.500)
Sb (0.500, 0.500, 0.000)

Summary:
Calculated total energy = -5.713 eV per atom
Spin magnetization = 5.57 μB per cell
Volume = 25.52 Å³/atom
Theoretical density = 11.08 g/cm3
Fermi-level density of states = 2.59 states/eV per atom

No. 4
A geometry-optimized PuInHgSb structure. Source: Alexandria, functional GGA-PBE.

Cell lengths 7.534, 7.534, 7.534 Å; angles 90.00, 90.00, 90.00 degrees
Space group F-43m (No. 216)
Unique sites:
Pu (0.000, 0.000, 0.000)
In (0.000, 0.000, 0.500)
Hg (0.250, 0.250, 0.250)
Sb (0.250, 0.250, 0.750)

Summary:
Calculated total energy = -5.553 eV per atom
Spin magnetization = 23.11 μB per cell
Volume = 26.73 Å³/atom
Theoretical density = 10.58 g/cm3
Fermi-level density of states = 3.08 states/eV per atom

No. 5
A geometry-optimized SmPuInHg structure. Source: Alexandria, functional GGA-PBE.

Cell lengths 7.611, 7.611, 7.611 Å; angles 90.00, 90.00, 90.00 degrees
Space group F-43m (No. 216)
Unique sites:
Sm (0.000, 0.000, 0.000)
Pu (0.000, 0.000, 0.500)
In (0.250, 0.250, 0.250)
Hg (0.250, 0.250, 0.750)

Summary:
Formation enthalpy at 0 K = -0.2666 eV/atom
Spin magnetization = 25.80 μB per cell
Volume = 27.56 Å³/atom
Theoretical density = 10.69 g/cm3
Fermi-level density of states = 2.34 states/eV per atom

No. 6
A geometry-optimized Sm2PuIn3Hg6 structure. Source: Alexandria, functional GGA-PBE.

Cell lengths 4.383, 4.383, 16.557 Å; angles 90.00, 90.00, 90.00 degrees
Space group P4/mmm (No. 123)
Unique sites:
Sm (0.000, 0.000, 0.118)
Pu (0.000, 0.000, 0.500)
In (0.500, 0.500, 0.000)
In (0.500, 0.500, 0.415)
Hg (0.000, 0.500, 0.294)
Hg (0.500, 0.500, 0.171)

Summary:
Formation enthalpy at 0 K = -0.1149 eV/atom
Spin magnetization = 6.33 μB per cell
Volume = 26.50 Å³/atom
Theoretical density = 10.93 g/cm3
Fermi-level density of states = 1.63 states/eV per atom

Which of these has the highest theoretical density?
PuInHgRh

Please write out number 1 again, unchanged.
A geometry-optimized Pu2In2Hg3 structure. Source: Alexandria, functional GGA-PBE.

Cell lengths 9.102, 9.102, 9.102 Å; angles 90.00, 90.00, 90.00 degrees
Space group I2_13 (No. 199)
Unique sites:
Pu (0.155, 0.155, 0.155)
In (0.066, 0.434, 0.566)
Hg (0.000, 0.250, 0.847)

Summary:
Formation enthalpy at 0 K = 0.0391 eV/atom
Spin magnetization = 49.45 μB per cell
Volume = 26.93 Å³/atom
Theoretical density = 11.62 g/cm3
Fermi-level density of states = 2.53 states/eV per atom